No. 1
PBE-GGA Ca3DyPu2N6, relaxed; space group = C2/m (12); M_tot = 7.00 μB/f.u.; uncorrected formation energy = -1.2494 eV/atom; calculated total energy = -0.3192 hartree per atom
1.0
7.539 -1.750 0.000
7.539 1.750 0.000
-1.635 0.000 6.790
Ca Dy Pu N
3 1 2 6
Cartesian
0.000 0.000 0.000
3.942 0.000 4.532
9.501 0.000 2.258
-0.817 0.000 3.395
4.764 0.000 1.156
8.680 0.000 5.633
1.477 0.000 4.129
2.569 0.000 0.438
6.925 0.000 1.717
6.518 0.000 5.073
10.874 0.000 6.352
11.966 0.000 2.661

No. 2
PBE-GGA Ac2Ga3Rh2, relaxed; space group = C2/m (12); M_tot = 0.00 μB/f.u.; ΔE_f = -0.705 eV per atom; calculated total energy = -0.1939 hartree per atom
1.0
5.484 -2.086 0.000
5.484 2.086 0.000
-3.506 0.000 6.793
Ac Ga Rh
2 3 2
Cartesian
0.592 0.000 1.803
6.870 0.000 4.990
3.623 0.000 0.422
3.731 0.000 3.397
3.839 0.000 6.372
-1.046 0.000 4.798
8.508 0.000 1.995